# 1
Computed, not measured: a relaxed structure of CeNdSmSc at the PBE level of DFT.

```
data_CeNdSmSc
_symmetry_space_group_name_H-M 'P 1'
_symmetry_Int_Tables_number 1
_symmetry_space_group_name_Hall 'P 1'
_cell_length_a 7.9264
_cell_length_b 7.9264
_cell_length_c 7.9264
_cell_angle_alpha 90.00
_cell_angle_beta 90.00
_cell_angle_gamma 90.00
loop_
_atom_site_label
_atom_site_type_symbol
_atom_site_fract_x
_atom_site_fract_y
_atom_site_fract_z
_atom_site_occupancy
Ce1 Ce 0.0000 0.0000 0.0000 1
Ce2 Ce 0.0000 0.5000 0.5000 1
Ce3 Ce 0.5000 0.0000 0.5000 1
Ce4 Ce 0.5000 0.5000 0.0000 1
Nd1 Nd 0.0000 0.0000 0.5000 1
Nd2 Nd 0.0000 0.5000 0.0000 1
Nd3 Nd 0.5000 0.0000 0.0000 1
Nd4 Nd 0.5000 0.5000 0.5000 1
Sm1 Sm 0.2500 0.2500 0.2500 1
Sm2 Sm 0.2500 0.7500 0.7500 1
Sm3 Sm 0.7500 0.2500 0.7500 1
Sm4 Sm 0.7500 0.7500 0.2500 1
Sc1 Sc 0.2500 0.2500 0.7500 1
Sc2 Sc 0.2500 0.7500 0.2500 1
Sc3 Sc 0.7500 0.2500 0.2500 1
Sc4 Sc 0.7500 0.7500 0.7500 1
```

Results
Size of the total moment   0.206 μB/atom
Calculated volume   31.12 A^3/atom
Space group   No. 216
Total DFT energy (no corrections)   -5.260 eV/atom

---

# 2
Computed, not measured: a relaxed structure of TbCeNdSc at the PBE level of DFT.

```
data_TbCeNdSc
_symmetry_space_group_name_H-M 'P 1'
_symmetry_Int_Tables_number 1
_symmetry_space_group_name_Hall 'P 1'
_cell_length_a 7.8895
_cell_length_b 7.8895
_cell_length_c 7.8895
_cell_angle_alpha 90.00
_cell_angle_beta 90.00
_cell_angle_gamma 90.00
loop_
_atom_site_label
_atom_site_type_symbol
_atom_site_fract_x
_atom_site_fract_y
_atom_site_fract_z
_atom_site_occupancy
Tb1 Tb 0.0000 0.0000 0.0000 1
Tb2 Tb 0.0000 0.5000 0.5000 1
Tb3 Tb 0.5000 0.0000 0.5000 1
Tb4 Tb 0.5000 0.5000 0.0000 1
Ce1 Ce 0.2500 0.2500 0.7500 1
Ce2 Ce 0.2500 0.7500 0.2500 1
Ce3 Ce 0.7500 0.2500 0.2500 1
Ce4 Ce 0.7500 0.7500 0.7500 1
Nd1 Nd 0.2500 0.2500 0.2500 1
Nd2 Nd 0.2500 0.7500 0.7500 1
Nd3 Nd 0.7500 0.2500 0.7500 1
Nd4 Nd 0.7500 0.7500 0.2500 1
Sc1 Sc 0.0000 0.0000 0.5000 1
Sc2 Sc 0.0000 0.5000 0.0000 1
Sc3 Sc 0.5000 0.0000 0.0000 1
Sc4 Sc 0.5000 0.5000 0.5000 1
```

Results
Size of the total moment   0.162 μB/atom
Calculated volume   30.69 A^3/atom
Space group   No. 216
Total DFT energy (no corrections)   -5.259 eV/atom

---

# 3
Computed, not measured: a relaxed structure of Ce3Nd2ScTe6 at the PBE level of DFT.

```
data_Ce3Nd2ScTe6
_symmetry_space_group_name_H-M 'P 1'
_symmetry_Int_Tables_number 1
_symmetry_space_group_name_Hall 'P 1'
_cell_length_a 9.9396
_cell_length_b 9.9396
_cell_length_c 8.9502
_cell_angle_alpha 103.18
_cell_angle_beta 103.18
_cell_angle_gamma 25.67
loop_
_atom_site_label
_atom_site_type_symbol
_atom_site_fract_x
_atom_site_fract_y
_atom_site_fract_z
_atom_site_occupancy
Ce1 Ce 0.0000 0.0000 0.0000 1
Ce2 Ce 0.3280 0.3280 0.6632 1
Ce3 Ce 0.6720 0.6720 0.3368 1
Nd1 Nd 0.3333 0.3333 0.1659 1
Nd2 Nd 0.6667 0.6667 0.8341 1
Sc1 Sc 0.0000 0.0000 0.5000 1
Te1 Te 0.1579 0.1579 0.5789 1
Te2 Te 0.1664 0.1664 0.0845 1
Te3 Te 0.4975 0.4975 0.7318 1
Te4 Te 0.5025 0.5025 0.2682 1
Te5 Te 0.8336 0.8336 0.9155 1
Te6 Te 0.8421 0.8421 0.4211 1
```

Results
Size of the total moment   0.311 μB/atom
Calculated volume   31.03 A^3/atom
Formation energy (no corrections)   -1.336 eV/atom
Space group   No. 12

---

# 4
Computed, not measured: a relaxed structure of Ce3Nd4ScTe8 at the PBE level of DFT.

```
data_Ce3Nd4ScTe8
_symmetry_space_group_name_H-M 'P 1'
_symmetry_Int_Tables_number 1
_symmetry_space_group_name_Hall 'P 1'
_cell_length_a 8.9244
_cell_length_b 8.9244
_cell_length_c 8.9319
_cell_angle_alpha 119.96
_cell_angle_beta 119.96
_cell_angle_gamma 60.00
loop_
_atom_site_label
_atom_site_type_symbol
_atom_site_fract_x
_atom_site_fract_y
_atom_site_fract_z
_atom_site_occupancy
Ce1 Ce 0.0000 0.0000 0.0000 1
Ce2 Ce 0.0000 0.5000 0.0000 1
Ce3 Ce 0.5000 0.0000 0.0000 1
Nd1 Nd 0.0000 0.0000 0.5000 1
Nd2 Nd 0.0000 0.5000 0.5000 1
Nd3 Nd 0.5000 0.0000 0.5000 1
Nd4 Nd 0.5000 0.5000 0.5000 1
Sc1 Sc 0.5000 0.5000 0.0000 1
Te1 Te 0.2498 0.2498 0.2498 1
Te2 Te 0.2581 0.7420 0.2408 1
Te3 Te 0.2580 0.7419 0.7592 1
Te4 Te 0.2588 0.2588 0.7588 1
Te5 Te 0.7412 0.7412 0.2412 1
Te6 Te 0.7420 0.2581 0.2408 1
Te7 Te 0.7419 0.2580 0.7592 1
Te8 Te 0.7502 0.7502 0.7502 1
```

Results
Size of the total moment   0.228 μB/atom
Calculated volume   31.46 A^3/atom
Formation energy (no corrections)   -1.372 eV/atom
Space group   No. 12

---

# 5
Computed, not measured: a relaxed structure of Ce2NdScTe4 at the PBE level of DFT.

```
data_Ce2NdScTe4
_symmetry_space_group_name_H-M 'P 1'
_symmetry_Int_Tables_number 1
_symmetry_space_group_name_Hall 'P 1'
_cell_length_a 7.6585
_cell_length_b 4.3787
_cell_length_c 7.6965
_cell_angle_alpha 90.00
_cell_angle_beta 108.96
_cell_angle_gamma 90.00
loop_
_atom_site_label
_atom_site_type_symbol
_atom_site_fract_x
_atom_site_fract_y
_atom_site_fract_z
_atom_site_occupancy
Ce1 Ce 0.0000 0.0000 0.0000 1
Ce2 Ce 0.5000 0.5000 0.0000 1
Nd1 Nd 0.0000 0.5000 0.5000 1
Sc1 Sc 0.5000 0.0000 0.5000 1
Te1 Te 0.2595 0.0000 0.7418 1
Te2 Te 0.2677 0.5000 0.2670 1
Te3 Te 0.7323 0.5000 0.7330 1
Te4 Te 0.7405 0.0000 0.2582 1
```

Results
Size of the total moment   0.304 μB/atom
Calculated volume   30.51 A^3/atom
Formation energy (no corrections)   -1.300 eV/atom
Space group   No. 10

---

# 6
Computed, not measured: a relaxed structure of CeNd2ScTe4 at the PBE level of DFT.

```
data_CeNd2ScTe4
_symmetry_space_group_name_H-M 'P 1'
_symmetry_Int_Tables_number 1
_symmetry_space_group_name_Hall 'P 1'
_cell_length_a 7.6688
_cell_length_b 4.3782
_cell_length_c 7.6883
_cell_angle_alpha 90.00
_cell_angle_beta 108.92
_cell_angle_gamma 90.00
loop_
_atom_site_label
_atom_site_type_symbol
_atom_site_fract_x
_atom_site_fract_y
_atom_site_fract_z
_atom_site_occupancy
Ce1 Ce 0.0000 0.0000 0.0000 1
Nd1 Nd 0.0000 0.5000 0.5000 1
Nd2 Nd 0.5000 0.0000 0.5000 1
Sc1 Sc 0.5000 0.5000 0.0000 1
Te1 Te 0.2580 0.5000 0.2405 1
Te2 Te 0.2669 0.0000 0.7681 1
Te3 Te 0.7331 0.0000 0.2319 1
Te4 Te 0.7420 0.5000 0.7595 1
```

Results
Size of the total moment   0.147 μB/atom
Calculated volume   30.52 A^3/atom
Formation energy (no corrections)   -1.312 eV/atom
Space group   No. 10

---

# 7
Computed, not measured: a relaxed structure of CeNdYSc at the PBE level of DFT.

```
data_CeNdYSc
_symmetry_space_group_name_H-M 'P 1'
_symmetry_Int_Tables_number 1
_symmetry_space_group_name_Hall 'P 1'
_cell_length_a 7.9237
_cell_length_b 7.9237
_cell_length_c 7.9237
_cell_angle_alpha 90.00
_cell_angle_beta 90.00
_cell_angle_gamma 90.00
loop_
_atom_site_label
_atom_site_type_symbol
_atom_site_fract_x
_atom_site_fract_y
_atom_site_fract_z
_atom_site_occupancy
Ce1 Ce 0.0000 0.0000 0.0000 1
Ce2 Ce 0.0000 0.5000 0.5000 1
Ce3 Ce 0.5000 0.0000 0.5000 1
Ce4 Ce 0.5000 0.5000 0.0000 1
Nd1 Nd 0.2500 0.2500 0.7500 1
Nd2 Nd 0.2500 0.7500 0.2500 1
Nd3 Nd 0.7500 0.2500 0.2500 1
Nd4 Nd 0.7500 0.7500 0.7500 1
Y1 Y 0.0000 0.0000 0.5000 1
Y2 Y 0.0000 0.5000 0.0000 1
Y3 Y 0.5000 0.0000 0.0000 1
Y4 Y 0.5000 0.5000 0.5000 1
Sc1 Sc 0.2500 0.2500 0.2500 1
Sc2 Sc 0.2500 0.7500 0.7500 1
Sc3 Sc 0.7500 0.2500 0.7500 1
Sc4 Sc 0.7500 0.7500 0.2500 1
```

Results
Size of the total moment   0.560 μB/atom
Calculated volume   31.09 A^3/atom
Space group   No. 216
Total DFT energy (no corrections)   -5.679 eV/atom

---

# 8
Computed, not measured: a relaxed structure of Ce2Nd5Se12 at the PBE level of DFT.

```
data_Ce2Nd5Se12
_symmetry_space_group_name_H-M 'P 1'
_symmetry_Int_Tables_number 1
_symmetry_space_group_name_Hall 'P 1'
_cell_length_a 9.0530
_cell_length_b 9.0530
_cell_length_c 9.5251
_cell_angle_alpha 106.28
_cell_angle_beta 106.28
_cell_angle_gamma 51.95
loop_
_atom_site_label
_atom_site_type_symbol
_atom_site_fract_x
_atom_site_fract_y
_atom_site_fract_z
_atom_site_occupancy
Ce1 Ce 0.2473 0.7527 0.0000 1
Ce2 Ce 0.7527 0.2473 0.0000 1
Nd1 Nd 0.1855 0.1855 0.8242 1
Nd2 Nd 0.2069 0.2069 0.3645 1
Nd3 Nd 0.5000 0.5000 0.5000 1
Nd4 Nd 0.7931 0.7931 0.6355 1
Nd5 Nd 0.8145 0.8145 0.1758 1
Se1 Se 0.0042 0.0042 0.2223 1
Se2 Se 0.0476 0.5912 0.9038 1
Se3 Se 0.0989 0.6065 0.4375 1
Se4 Se 0.3935 0.9011 0.5625 1
Se5 Se 0.4088 0.9524 0.0962 1
Se6 Se 0.4847 0.4847 0.1927 1
Se7 Se 0.5153 0.5153 0.8073 1
Se8 Se 0.5912 0.0476 0.9038 1
Se9 Se 0.6065 0.0989 0.4375 1
Se10 Se 0.9011 0.3935 0.5625 1
Se11 Se 0.9524 0.4088 0.0962 1
Se12 Se 0.9958 0.9958 0.7777 1
```

Results
Size of the total moment   0.000 μB/atom
Calculated volume   30.74 A^3/atom
Formation energy (no corrections)   -1.649 eV/atom
Space group   No. 12

---

# 9
Computed, not measured: a relaxed structure of CeNd2Se3 at the PBE level of DFT.

```
data_CeNd2Se3
_symmetry_space_group_name_H-M 'P 1'
_symmetry_Int_Tables_number 1
_symmetry_space_group_name_Hall 'P 1'
_cell_length_a 4.2122
_cell_length_b 5.9696
_cell_length_c 12.7013
_cell_angle_alpha 90.00
_cell_angle_beta 90.00
_cell_angle_gamma 90.00
loop_
_atom_site_label
_atom_site_type_symbol
_atom_site_fract_x
_atom_site_fract_y
_atom_site_fract_z
_atom_site_occupancy
Ce1 Ce 0.0000 0.0000 0.0000 1
Ce2 Ce 0.5000 0.5000 0.5000 1
Nd1 Nd 0.0000 0.0000 0.3308 1
Nd2 Nd 0.0000 0.0000 0.6692 1
Nd3 Nd 0.5000 0.5000 0.1692 1
Nd4 Nd 0.5000 0.5000 0.8308 1
Se1 Se 0.0000 0.5000 0.0000 1
Se2 Se 0.0000 0.5000 0.3356 1
Se3 Se 0.0000 0.5000 0.6644 1
Se4 Se 0.5000 0.0000 0.1644 1
Se5 Se 0.5000 0.0000 0.5000 1
Se6 Se 0.5000 0.0000 0.8356 1
```

Results
Size of the total moment   0.179 μB/atom
Calculated volume   26.61 A^3/atom
Formation energy (no corrections)   -1.839 eV/atom
Space group   No. 71

---

# 10
Computed, not measured: a relaxed structure of Ce4Nd3Se8 at the PBE level of DFT.

```
data_Ce4Nd3Se8
_symmetry_space_group_name_H-M 'P 1'
_symmetry_Int_Tables_number 1
_symmetry_space_group_name_Hall 'P 1'
_cell_length_a 8.4216
_cell_length_b 8.4216
_cell_length_c 8.4219
_cell_angle_alpha 119.99
_cell_angle_beta 119.99
_cell_angle_gamma 90.02
loop_
_atom_site_label
_atom_site_type_symbol
_atom_site_fract_x
_atom_site_fract_y
_atom_site_fract_z
_atom_site_occupancy
Ce1 Ce 0.0000 0.0000 0.0000 1
Ce2 Ce 0.0000 0.0000 0.5000 1
Ce3 Ce 0.0000 0.5000 0.0000 1
Ce4 Ce 0.5000 0.0000 0.0000 1
Nd1 Nd 0.0000 0.5000 0.5000 1
Nd2 Nd 0.5000 0.0000 0.5000 1
Nd3 Nd 0.5000 0.5000 0.0000 1
Se1 Se 0.2494 0.7506 0.0000 1
Se2 Se 0.2512 0.2512 0.4984 1
Se3 Se 0.2518 0.2518 0.0044 1
Se4 Se 0.2518 0.7482 0.5000 1
Se5 Se 0.7482 0.2518 0.5000 1
Se6 Se 0.7482 0.7482 0.9956 1
Se7 Se 0.7488 0.7488 0.5016 1
Se8 Se 0.7506 0.2494 0.0000 1
```

Results
Size of the total moment   0.321 μB/atom
Calculated volume   28.16 A^3/atom
ΔE to the lowest computed polymorph   0.000 eV/atom
Formation energy (no corrections)   -1.843 eV/atom
Space group   No. 12

---

# 11
Computed, not measured: a relaxed structure of Ce4Nd3Se8 at the PBE level of DFT.

```
data_Ce4Nd3Se8
_symmetry_space_group_name_H-M 'P 1'
_symmetry_Int_Tables_number 1
_symmetry_space_group_name_Hall 'P 1'
_cell_length_a 9.1067
_cell_length_b 9.1067
_cell_length_c 9.1067
_cell_angle_alpha 54.63
_cell_angle_beta 54.63
_cell_angle_gamma 54.63
loop_
_atom_site_label
_atom_site_type_symbol
_atom_site_fract_x
_atom_site_fract_y
_atom_site_fract_z
_atom_site_occupancy
Ce1 Ce 0.0000 0.0000 0.0000 1
Ce2 Ce 0.1448 0.1448 0.1448 1
Ce3 Ce 0.5000 0.5000 0.5000 1
Ce4 Ce 0.8552 0.8552 0.8552 1
Nd1 Nd 0.0000 0.5000 0.5000 1
Nd2 Nd 0.5000 0.0000 0.5000 1
Nd3 Nd 0.5000 0.5000 0.0000 1
Se1 Se 0.2504 0.2504 0.7398 1
Se2 Se 0.2504 0.7398 0.2504 1
Se3 Se 0.2602 0.7496 0.7496 1
Se4 Se 0.2655 0.2655 0.2655 1
Se5 Se 0.7345 0.7345 0.7345 1
Se6 Se 0.7398 0.2504 0.2504 1
Se7 Se 0.7496 0.2602 0.7496 1
Se8 Se 0.7496 0.7496 0.2602 1
```

Results
Size of the total moment   0.345 μB/atom
Calculated volume   31.15 A^3/atom
ΔE to the lowest computed polymorph   0.252 eV/atom
Formation energy (no corrections)   -1.591 eV/atom
Space group   No. 166

---

# 12
Computed, not measured: a relaxed structure of CeNd2Se at the PBE level of DFT.

```
data_CeNd2Se
_symmetry_space_group_name_H-M 'P 1'
_symmetry_Int_Tables_number 1
_symmetry_space_group_name_Hall 'P 1'
_cell_length_a 3.8504
_cell_length_b 3.8504
_cell_length_c 29.0412
_cell_angle_alpha 90.00
_cell_angle_beta 90.00
_cell_angle_gamma 120.00
loop_
_atom_site_label
_atom_site_type_symbol
_atom_site_fract_x
_atom_site_fract_y
_atom_site_fract_z
_atom_site_occupancy
Ce1 Ce 0.0000 0.0000 0.0000 1
Ce2 Ce 0.3333 0.6667 0.6667 1
Ce3 Ce 0.6667 0.3333 0.3333 1
Nd1 Nd 0.0000 0.0000 0.2347 1
Nd2 Nd 0.0000 0.0000 0.7653 1
Nd3 Nd 0.3333 0.6667 0.4320 1
Nd4 Nd 0.3333 0.6667 0.9013 1
Nd5 Nd 0.6667 0.3333 0.0987 1
Nd6 Nd 0.6667 0.3333 0.5680 1
Se1 Se 0.0000 0.0000 0.5000 1
Se2 Se 0.3333 0.6667 0.1667 1
Se3 Se 0.6667 0.3333 0.8333 1
```

Results
Size of the total moment   0.213 μB/atom
Calculated volume   31.07 A^3/atom
Formation energy (no corrections)   -0.719 eV/atom
Space group   No. 166